[1]
# TcB2Mo (PBE, optimized geometry)
# Crystal system: tetragonal
data_TcB2Mo
_space_group_name_H-M_alt 'I -4 2 d'
_space_group_IT_number 122
_space_group_name_Hall 'I -4 2bw'
_cell_length_a 4.701
_cell_length_b 4.701
_cell_length_c 9.899
_cell_angle_alpha 90.00
_cell_angle_beta 90.00
_cell_angle_gamma 90.00
loop_
_atom_site_label
_atom_site_fract_x
_atom_site_fract_y
_atom_site_fract_z
Tc1 0.000 0.000 0.000
B1 0.236 0.250 0.125
Mo1 0.000 0.000 0.500

=====

[2]
# TcB2Mo2 (PBE, optimized geometry)
# Crystal system: tetragonal
data_TcB2Mo2
_space_group_name_H-M_alt 'P 4/m n c'
_space_group_IT_number 128
_space_group_name_Hall '-P 4 2n'
_cell_length_a 5.961
_cell_length_b 5.961
_cell_length_c 6.373
_cell_angle_alpha 90.00
_cell_angle_beta 90.00
_cell_angle_gamma 90.00
loop_
_atom_site_label
_atom_site_fract_x
_atom_site_fract_y
_atom_site_fract_z
Tc1 0.000 0.000 0.223
B1 0.114 0.386 0.250
Mo1 0.163 0.682 0.500

=====

[3]
# Tc3BMo (PBE, optimized geometry)
# Crystal system: cubic
data_Tc3BMo
_space_group_name_H-M_alt 'P m -3 m'
_space_group_IT_number 221
_space_group_name_Hall '-P 4 2 3'
_cell_length_a 4.659
_cell_length_b 4.659
_cell_length_c 4.659
_cell_angle_alpha 90.00
_cell_angle_beta 90.00
_cell_angle_gamma 90.00
loop_
_atom_site_label
_atom_site_fract_x
_atom_site_fract_y
_atom_site_fract_z
Tc1 0.000 0.000 0.500
B1 0.500 0.500 0.500
Mo1 0.000 0.000 0.000

=====

[4]
# Tc3BMo (PBE, optimized geometry)
# Crystal system: orthorhombic
data_Tc3BMo
_space_group_name_H-M_alt 'P m m a'
_space_group_IT_number 51
_space_group_name_Hall '-P 2a 2a'
_cell_length_a 7.256
_cell_length_b 2.799
_cell_length_c 6.540
_cell_angle_alpha 90.00
_cell_angle_beta 90.00
_cell_angle_gamma 90.00
loop_
_atom_site_label
_atom_site_fract_x
_atom_site_fract_y
_atom_site_fract_z
Tc1 0.053 0.000 0.208
Tc2 0.250 0.000 0.557
B1 0.000 0.500 0.500
Mo1 0.250 0.500 0.922

=====

[5]
# TcB3Mo (PBE, optimized geometry)
# Crystal system: cubic
data_TcB3Mo
_space_group_name_H-M_alt 'P m -3 m'
_space_group_IT_number 221
_space_group_name_Hall '-P 4 2 3'
_cell_length_a 3.941
_cell_length_b 3.941
_cell_length_c 3.941
_cell_angle_alpha 90.00
_cell_angle_beta 90.00
_cell_angle_gamma 90.00
loop_
_atom_site_label
_atom_site_fract_x
_atom_site_fract_y
_atom_site_fract_z
Tc1 0.000 0.000 0.000
B1 0.000 0.000 0.500
Mo1 0.500 0.500 0.500

=====

[6]
# Tc6B4Mo (PBE, optimized geometry)
# Crystal system: tetragonal
data_Tc6B4Mo
_space_group_name_H-M_alt 'I -4 2 m'
_space_group_IT_number 121
_space_group_name_Hall 'I -4 2'
_cell_length_a 5.595
_cell_length_b 5.595
_cell_length_c 8.140
_cell_angle_alpha 90.00
_cell_angle_beta 90.00
_cell_angle_gamma 90.00
loop_
_atom_site_label
_atom_site_fract_x
_atom_site_fract_y
_atom_site_fract_z
Tc1 0.000 0.500 0.000
Tc2 0.187 0.187 0.267
B1 0.144 0.144 0.556
Mo1 0.000 0.000 0.000

=====

[7]
# Tc12B6Mo (PBE, optimized geometry)
# Crystal system: cubic
data_Tc12B6Mo
_space_group_name_H-M_alt 'I m -3'
_space_group_IT_number 204
_space_group_name_Hall '-I 2 2 3'
_cell_length_a 7.677
_cell_length_b 7.677
_cell_length_c 7.677
_cell_angle_alpha 90.00
_cell_angle_beta 90.00
_cell_angle_gamma 90.00
loop_
_atom_site_label
_atom_site_fract_x
_atom_site_fract_y
_atom_site_fract_z
Tc1 0.000 0.187 0.303
B1 0.000 0.385 0.500
Mo1 0.000 0.000 0.000

=====

[8]
# TcB6Mo2 (PBE, optimized geometry)
# Crystal system: hexagonal
data_TcB6Mo2
_space_group_name_H-M_alt 'P 6/m m m'
_space_group_IT_number 191
_space_group_name_Hall '-P 6 2'
_cell_length_a 5.2169
_cell_length_b 5.2169
_cell_length_c 3.3650
_cell_angle_alpha 90.00
_cell_angle_beta 90.00
_cell_angle_gamma 120.00
loop_
_atom_site_label
_atom_site_fract_x
_atom_site_fract_y
_atom_site_fract_z
Tc1 0.0000 0.0000 0.0000
B1 0.0000 0.3320 0.5000
Mo1 0.3333 0.6667 0.0000

=====

[9]
# TcBMo (PBE, optimized geometry)
# Crystal system: orthorhombic
data_TcBMo
_space_group_name_H-M_alt 'P m m a'
_space_group_IT_number 51
_space_group_name_Hall '-P 2a 2a'
_cell_length_a 10.939
_cell_length_b 3.059
_cell_length_c 6.409
_cell_angle_alpha 90.00
_cell_angle_beta 90.00
_cell_angle_gamma 90.00
loop_
_atom_site_label
_atom_site_fract_x
_atom_site_fract_y
_atom_site_fract_z
Tc1 0.120 0.000 0.068
Tc2 0.250 0.000 0.692
B1 0.088 0.000 0.443
B2 0.250 0.500 0.946
Mo1 0.043 0.500 0.709
Mo2 0.250 0.500 0.346

=====

[10]
# TcB4Mo2 (PBE, optimized geometry)
# Crystal system: tetragonal
data_TcB4Mo2
_space_group_name_H-M_alt 'I 4/m m m'
_space_group_IT_number 139
_space_group_name_Hall '-I 4 2'
_cell_length_a 3.948
_cell_length_b 3.948
_cell_length_c 11.037
_cell_angle_alpha 90.00
_cell_angle_beta 90.00
_cell_angle_gamma 90.00
loop_
_atom_site_label
_atom_site_fract_x
_atom_site_fract_y
_atom_site_fract_z
Tc1 0.000 0.000 0.000
B1 0.000 0.000 0.192
B2 0.000 0.500 0.000
Mo1 0.000 0.000 0.375

=====

no.,uncorrected energy (eV/atom),DFT formation energy (eV/f.u.)
1,-7.88,3.05
2,-9.45,-1.85
3,-7.15,12.87
4,-9.62,0.49
5,-7.01,6.16
6,-9.25,-2.00
7,-9.50,-5.17
8,-8.22,-1.93
9,-9.65,-1.07
10,-7.66,5.13